Entry P
VASP calculation (PBE) on crystalline NaLiInSn at its relaxed geometry.

Cell: 7.1726 7.1726 7.1726 Å, 90.00 90.00 90.00°
With the nearest neighbours (Å) after each atom.
Space group F-43m (No. 216)
Asymmetric unit:
Na  0.0000  0.0000  0.0000 x4  4 In 3.11, 4 Sn 3.11
Li  0.0000  0.0000  0.5000 x4  4 Sn 3.11, 4 In 3.11
In  0.2500  0.2500  0.7500 x4  4 Na 3.11, 4 Li 3.11
Sn  0.2500  0.2500  0.2500 x4  4 Na 3.11, 4 Li 3.11

Entry Q
VASP calculation (PBE) on crystalline NaLiInSn at its relaxed geometry.

Cell: 3.3383 3.3383 8.4212 Å, 90.00 90.00 90.00°
With the nearest neighbours (Å) after each atom.
Space group P4mm (No. 99)
Asymmetric unit:
Na  0.0000  0.0000  0.0000 x1  4 Na 3.34, 4 In 3.38, 4 Sn 3.38
Li  0.0000  0.0000  0.4977 x1  4 Sn 2.95, 4 In 2.98
In  0.5000  0.5000  0.7131 x1  4 Li 2.98
Sn  0.5000  0.5000  0.2872 x1  4 Li 2.95

Here is how they stack up, most stable first: entry Q, entry P.

Entry P
VASP calculation (PBE) on crystalline NaLiTlIn at its relaxed geometry.

Cell: 7.2900 7.2900 7.2900 Å, 90.00 90.00 90.00°
With the nearest neighbours (Å) after each atom.
Space group F-43m (No. 216)
Asymmetric unit:
Na  0.0000  0.0000  0.0000 x4  4 Li 3.16, 4 Tl 3.16
Li  0.2500  0.2500  0.2500 x4  4 In 3.16, 4 Na 3.16
Tl  0.2500  0.2500  0.7500 x4  4 Na 3.16, 4 In 3.16
In  0.0000  0.0000  0.5000 x4  4 Tl 3.16, 4 Li 3.16

Entry Q
VASP calculation (PBE) on crystalline NaLiTlIn at its relaxed geometry.

Cell: 3.4715 3.4715 7.9209 Å, 90.00 90.00 90.00°
With the nearest neighbours (Å) after each atom.
Space group P4mm (No. 99)
Asymmetric unit:
Na  0.0000  0.0000  0.0000 x1  4 In 3.33, 4 Tl 3.35, 4 Na 3.47
Li  0.0000  0.0000  0.4942 x1  4 In 2.97, 4 Tl 3.00
Tl  0.5000  0.5000  0.7128 x1  4 Li 3.00, 4 Na 3.35
In  0.5000  0.5000  0.2841 x1  4 Li 2.97

Here is how they stack up, most stable first: entry Q, entry P.

Entry P
VASP calculation (PBE) on crystalline Li2NbIn2 at its relaxed geometry.

Cell: 4.3494 4.3494 9.3603 Å, 90.00 90.00 90.00°
With the nearest neighbours (Å) after each atom.
Space group I4/mmm (No. 139)
Asymmetric unit:
Li  0.0000  0.0000  0.1086 x4  1 Li 2.03
Nb  0.0000  0.0000  0.5000 x2  8 In 3.19, 8 Li 3.24
In  0.0000  0.5000  0.2500 x4  4 Li 2.55

Entry Q
VASP calculation (PBE) on crystalline Li2NbIn2 at its relaxed geometry.

Cell: 7.7494 7.7494 2.9318 Å, 90.00 90.00 90.00°
With the nearest neighbours (Å) after each atom.
Space group P4/mbm (No. 127)
Asymmetric unit:
Li  0.1171  0.3829  0.0000 x4  1 Li 2.57, 6 In 2.66-2.78
Nb  0.0000  0.0000  0.0000 x2  2 Nb 2.93, 4 Li 3.10, 8 In 3.20
In  0.1803  0.6803  0.5000 x4  6 Li 2.66-2.78, 2 In 2.93

Here is how they stack up, most stable first: entry Q, entry P.

Entry P
VASP calculation (PBE) on crystalline LiNb2In2 at its relaxed geometry.

Cell: 8.5609 8.5609 2.9987 Å, 90.00 90.00 90.00°
With the nearest neighbours (Å) after each atom.
Space group P4/mbm (No. 127)
Asymmetric unit:
Li  0.0000  0.0000  0.0000 x2  2 Li 3.00, 4 In 3.13
Nb  0.1097  0.3903  0.5000 x4  1 Nb 2.66, 2 In 2.91
In  0.1847  0.6847  0.0000 x4  6 Nb 2.91-3.00, 2 In 3.00, 2 Li 3.13

Entry Q
VASP calculation (PBE) on crystalline LiNb2In2 at its relaxed geometry.

Cell: 3.8219 3.8219 14.9073 Å, 90.00 90.00 90.00°
With the nearest neighbours (Å) after each atom.
Space group I4/mmm (No. 139)
Asymmetric unit:
Li  0.0000  0.0000  0.0000 x2  8 In 3.05
Nb  0.0000  0.5000  0.2500 x4  4 Nb 2.70, 4 In 3.00
In  0.0000  0.0000  0.4050 x4  1 In 2.83, 4 Nb 3.00, 4 Li 3.05

Here is how they stack up, most stable first: entry P, entry Q.

Entry P
VASP calculation (PBE) on crystalline LiNb3In at its relaxed geometry.

Cell: 5.1118 5.1118 5.1118 Å, 90.00 90.00 90.00°
With the nearest neighbours (Å) after each atom.
Space group Pm-3m (No. 221)
Asymmetric unit:
Li  0.0000  0.0000  0.0000 x1  12 Nb 3.61
Nb  0.0000  0.5000  0.5000 x3  2 In 2.56
In  0.5000  0.5000  0.5000 x1  6 Nb 2.56

Entry Q
VASP calculation (PBE) on crystalline LiNb3In at its relaxed geometry.

Cell: 4.4858 4.4858 4.4858 Å, 90.00 90.00 90.00°
With the nearest neighbours (Å) after each atom.
Space group Pm-3m (No. 221)
Asymmetric unit:
Li  0.0000  0.0000  0.0000 x1  6 Nb 2.24
Nb  0.0000  0.0000  0.5000 x3  2 Li 2.24
In  0.5000  0.5000  0.5000 x1  12 Nb 3.17

Here is how they stack up, most stable first: entry Q, entry P.

Entry P
VASP calculation (PBE) on crystalline LiNd2In3 at its relaxed geometry.

Cell: 3.7446 4.9599 8.5909 Å, 90.00 90.00 90.00°
With the nearest neighbours (Å) after each atom.
Space group Pmm2 (No. 25)
Asymmetric unit:
Li  0.0000  0.0000  0.0000 x1  3 In 2.76-2.78
Nd  0.5000  0.0000  0.6661 x1  10 In 3.38-3.50, 2 Li 3.43, 2 Nd 3.74
Nd  0.5000  0.5000  0.1795 x1  8 In 3.34-3.42, 4 Li 3.47
In  0.0000  0.0000  0.3215 x1  1 Li 2.76, 2 In 2.97
In  0.0000  0.5000  0.5125 x1  3 In 2.94-2.97
In  0.0000  0.5000  0.8547 x1  2 Li 2.78, 1 In 2.94

Entry Q
VASP calculation (PBE) on crystalline LiNd2In3 at its relaxed geometry.

Cell: 7.4635 9.8982 17.1862 Å, 90.00 90.00 90.00°
With the nearest neighbours (Å) after each atom.
Space group Fmmm (No. 69)
Asymmetric unit:
Li  0.0000  0.0000  0.1682 x8  3 In 2.76-2.80
Nd  0.2483  0.0000  0.0000 x8  10 In 3.39-3.49, 2 Li 3.43, 2 Nd 3.71-3.76
Nd  0.2500  0.2500  0.2500 x8  8 In 3.38, 4 Li 3.40, 2 Nd 3.73
In  0.0000  0.0000  0.3288 x8  1 Li 2.76, 2 In 2.92
In  0.0000  0.2441  0.0862 x16  1 Li 2.80, 2 In 2.92-2.96

Here is how they stack up, most stable first: entry Q, entry P.

Entry P
VASP calculation (PBE) on crystalline Li3In3Ni2 at its relaxed geometry.

Cell: 4.4752 4.4752 22.0277 Å, 90.00 90.00 120.00°
With the nearest neighbours (Å) after each atom.
Space group R3m (No. 160, hexagonal axes)
Asymmetric unit:
Li  0.0000  0.0000  0.0000 x3  1 Li 2.74, 7 In 2.76-2.91
Li  0.0000  0.0000  0.1245 x3  4 Li 2.73-2.74, 4 Ni 2.77-2.78
Li  0.0000  0.0000  0.4975 x3  5 In 2.63-2.75, 3 Li 2.73
In  0.0000  0.0000  0.3779 x3  4 Li 2.63-2.76, 4 Ni 2.69-2.80
In  0.0000  0.0000  0.6225 x3  4 Ni 2.71-2.72, 4 Li 2.75-2.76
In  0.0000  0.0000  0.8680 x3  4 Ni 2.70-2.81, 4 Li 2.71-2.91
Ni  0.0000  0.0000  0.2509 x3  7 In 2.72-2.81, 1 Li 2.78
Ni  0.0000  0.0000  0.7457 x3  5 In 2.69-2.71, 3 Li 2.77

Entry Q
VASP calculation (PBE) on crystalline Li3In3Ni2 at its relaxed geometry.

Cell: 4.0461 4.2514 8.4199 Å, 104.55 103.73 90.02°
With the nearest neighbours (Å) after each atom.
Space group P-1 (No. 2)
Asymmetric unit:
Li  0.0000  0.0000  0.0000 x1  8 In 2.93-3.10, 4 Li 3.11
Li  0.1444  0.6439  0.2873 x2  4 Ni 2.63-2.71, 4 In 2.93-2.94
In  0.3521  0.8518  0.7035 x2  4 Ni 2.58-2.67
In  0.5000  0.5000  0.0000 x1  8 Li 2.93-3.05, 4 In 3.16
Ni  0.2480  0.2499  0.4991 x2  4 In 2.58-2.67, 4 Li 2.63-2.71

Here is how they stack up, most stable first: entry P, entry Q.

Entry P
VASP calculation (PBE) on crystalline LiIn2Ni2 at its relaxed geometry.

Cell: 4.8216 4.8216 7.9623 Å, 90.00 90.00 90.00°
With the nearest neighbours (Å) after each atom.
Space group I4/mmm (No. 139)
Asymmetric unit:
Li  0.0000  0.0000  0.0000 x2  2 Ni 2.86, 8 In 3.13
In  0.0000  0.5000  0.2500 x4  4 Ni 2.56
Ni  0.0000  0.0000  0.3589 x4  1 Ni 2.25

Entry Q
VASP calculation (PBE) on crystalline LiIn2Ni2 at its relaxed geometry.

Cell: 3.6247 3.6247 13.4645 Å, 90.00 90.00 90.00°
With the nearest neighbours (Å) after each atom.
Space group I4/mmm (No. 139)
Asymmetric unit:
Li  0.0000  0.0000  0.0000 x2  8 In 2.97
In  0.0000  0.0000  0.3886 x4  4 Ni 2.60
Ni  0.0000  0.5000  0.2500 x4  4 Ni 2.56, 4 In 2.60

Here is how they stack up, most stable first: entry Q, entry P.

Entry P
VASP calculation (PBE) on crystalline Li4InNi at its relaxed geometry.

Cell: 7.0382 7.0382 7.0382 Å, 90.00 90.00 90.00°
With the nearest neighbours (Å) after each atom.
Space group F-43m (No. 216)
Asymmetric unit:
Li  0.1238  0.1238  0.1238 x16  6 Li 2.46-2.51
In  0.0000  0.0000  0.5000 x4  12 Li 2.92, 4 Ni 3.05
Ni  0.2500  0.2500  0.7500 x4  12 Li 2.92, 4 In 3.05

Entry Q
VASP calculation (PBE) on crystalline Li4InNi at its relaxed geometry.

Cell: 5.2926 4.4943 8.2085 Å, 90.00 108.71 90.00°
With the nearest neighbours (Å) after each atom.
Space group P2_1/m (No. 11)
Asymmetric unit:
Li  0.0365  0.2500  0.0842 x2  5 Li 2.59-2.70
Li  0.1934  0.2500  0.4179 x2  4 Li 2.48-2.60
Li  0.2751  0.7500  0.5824 x2  4 Li 2.48-2.59
Li  0.4525  0.7500  0.9159 x2  5 Li 2.59-2.70
In  0.3758  0.7500  0.2517 x2  2 Ni 2.65, 12 Li 2.91-2.95
Ni  0.1234  0.2500  0.7467 x2  2 In 2.65, 12 Li 2.84-2.95

Here is how they stack up, most stable first: entry Q, entry P.

Entry P
VASP calculation (PBE) on crystalline LiIn3Ni at its relaxed geometry.

Cell: 4.9567 4.9567 4.9567 Å, 90.00 90.00 90.00°
With the nearest neighbours (Å) after each atom.
Space group Pm-3m (No. 221)
Asymmetric unit:
Li  0.0000  0.0000  0.0000 x1  12 In 3.50
In  0.0000  0.5000  0.5000 x3  2 Ni 2.48
Ni  0.5000  0.5000  0.5000 x1  6 In 2.48

Entry Q
VASP calculation (PBE) on crystalline LiIn3Ni at its relaxed geometry.

Cell: 13.7437 13.6608 4.5119 Å, 90.00 109.00 90.00°
With the nearest neighbours (Å) after each atom.
Space group C2/c (No. 15)
Asymmetric unit:
Li  0.2451  0.0745  0.4941 x8  8 In 2.77-2.94, 2 Li 3.04
In  0.1154  0.0862  0.8648 x8  4 Ni 2.71-3.01, 3 Li 2.77-2.82, 1 In 3.00
In  0.1164  0.4147  0.8678 x8  1 Ni 2.69, 3 Li 2.83-2.89
In  0.1257  0.2574  0.3746 x8  3 Ni 2.65-2.79, 2 Li 2.84-2.94
Ni  0.0000  0.1046  0.2500 x4  6 In 2.65-2.72
Ni  0.0000  0.2515  0.7500 x4  8 In 2.69-2.79

Entry R
VASP calculation (PBE) on crystalline LiIn3Ni at its relaxed geometry.

Cell: 6.9557 6.9557 5.2098 Å, 90.00 90.00 120.00°
With the nearest neighbours (Å) after each atom.
Space group P6_3/mmc (No. 194)
Asymmetric unit:
Li  0.3333  0.6667  0.2500 x2  12 In 3.15-3.49
In  0.1864  0.3728  0.7500 x6  2 Ni 2.60
Ni  0.0000  0.0000  0.0000 x2  6 In 2.60, 2 Ni 2.60

Here is how they stack up, most stable first: entry Q, entry R, entry P.

Entry P
VASP calculation (PBE) on crystalline Li3InNi at its relaxed geometry.

Cell: 4.5279 4.5279 4.5279 Å, 90.00 90.00 90.00°
With the nearest neighbours (Å) after each atom.
Space group Pm-3m (No. 221)
Asymmetric unit:
Li  0.0000  0.0000  0.5000 x3  2 Ni 2.26
In  0.5000  0.5000  0.5000 x1  12 Li 3.20
Ni  0.0000  0.0000  0.0000 x1  6 Li 2.26

Entry Q
VASP calculation (PBE) on crystalline Li3InNi at its relaxed geometry.

Cell: 4.8931 4.8931 4.8931 Å, 90.00 90.00 90.00°
With the nearest neighbours (Å) after each atom.
Space group Pm-3m (No. 221)
Asymmetric unit:
Li  0.0000  0.0000  0.5000 x3  2 In 2.45
In  0.0000  0.0000  0.0000 x1  6 Li 2.45
Ni  0.5000  0.5000  0.5000 x1  12 Li 3.46

Here is how they stack up, most stable first: entry P, entry Q.

Entry P
VASP calculation (PBE) on crystalline Li2InNi2 at its relaxed geometry.

Cell: 6.7630 6.7630 3.0960 Å, 90.00 90.00 90.00°
With the nearest neighbours (Å) after each atom.
Space group P4/mbm (No. 127)
Asymmetric unit:
Li  0.1668  0.3332  0.0000 x4  6 Ni 2.51-2.53
In  0.0000  0.0000  0.5000 x2  4 Ni 2.67, 8 Li 2.96
Ni  0.1260  0.6260  0.5000 x4  1 Ni 2.41, 6 Li 2.51-2.53, 2 In 2.67

Entry Q
VASP calculation (PBE) on crystalline Li2InNi2 at its relaxed geometry.

Cell: 6.8263 6.8263 2.8490 Å, 90.00 90.00 90.00°
With the nearest neighbours (Å) after each atom.
Space group P4/mbm (No. 127)
Asymmetric unit:
Li  0.1167  0.3833  0.0000 x4  1 Li 2.25, 2 Ni 2.40
In  0.0000  0.0000  0.0000 x2  4 Li 2.74, 2 In 2.85, 8 Ni 2.87
Ni  0.1836  0.6836  0.5000 x4  6 Li 2.40-2.54

Entry R
VASP calculation (PBE) on crystalline Li2InNi2 at its relaxed geometry.

Cell: 3.5095 3.5095 12.0647 Å, 90.00 90.00 90.00°
With the nearest neighbours (Å) after each atom.
Space group I4/mmm (No. 139)
Asymmetric unit:
Li  0.0000  0.5000  0.2500 x4  4 Li 2.48, 4 Ni 2.55
In  0.0000  0.0000  0.0000 x2  8 Ni 2.74
Ni  0.0000  0.0000  0.4033 x4  1 Ni 2.33, 4 Li 2.55

Here is how they stack up, most stable first: entry P, entry Q, entry R.